Entry 1:
The following is a GGA-PBE calculation of a relaxed Ba2Cd3AgSn4 crystal, from Alexandria via LeMat-Bulk.

abc: 4.953 4.953 12.024
angles: 90.00 90.00 90.00
Sites, in units of the cell vectors:
Ba (0.000, 0.500, 0.240)
Ba (0.500, 0.000, 0.760)
Cd (0.000, 0.000, 0.000)
Cd (0.000, 0.500, 0.639)
Cd (0.500, 0.000, 0.361)
Ag (0.500, 0.500, 0.000)
Sn (0.000, 0.000, 0.500)
Sn (0.000, 0.500, 0.874)
Sn (0.500, 0.000, 0.126)
Sn (0.500, 0.500, 0.500)

Output
As for the energy of formation: -386 kJ/mol of formula units. Its space-group type is P-4m2.

---

Entry 2:
The following is a GGA-PBE calculation of a relaxed Ho11Er9Sc4 crystal, from Alexandria via LeMat-Bulk.

abc: 14.849 14.849 3.548
angles: 90.00 90.00 113.03
Sites, in units of the cell vectors:
Ho (0.000, 0.000, 0.000)
Ho (0.046, 0.407, 0.000)
Ho (0.160, 0.840, 0.000)
Ho (0.297, 0.297, 0.000)
Ho (0.370, 0.630, 0.000)
Ho (0.407, 0.046, 0.000)
Ho (0.593, 0.954, 0.000)
Ho (0.630, 0.370, 0.000)
Ho (0.703, 0.703, 0.000)
Ho (0.840, 0.160, 0.000)
Ho (0.954, 0.593, 0.000)
Er (0.073, 0.217, 0.500)
Er (0.166, 0.629, 0.500)
Er (0.217, 0.073, 0.500)
Er (0.371, 0.834, 0.500)
Er (0.500, 0.500, 0.500)
Er (0.629, 0.166, 0.500)
Er (0.783, 0.927, 0.500)
Er (0.834, 0.371, 0.500)
Er (0.927, 0.783, 0.500)
Sc (0.243, 0.446, 0.500)
Sc (0.446, 0.243, 0.500)
Sc (0.554, 0.757, 0.500)
Sc (0.757, 0.554, 0.500)

Output
As for the energy of formation: 100 kJ/mol of formula units. Its space-group type is Cmmm.

---

Entry 3:
The following is a GGA-PBE calculation of a relaxed Nd3Sb4 crystal, from Alexandria via LeMat-Bulk.

abc: 6.346 6.346 6.346
angles: 90.00 90.00 90.00
Sites, in units of the cell vectors:
Nd (0.000, 0.000, 0.500)
Nd (0.000, 0.500, 0.000)
Nd (0.500, 0.000, 0.000)
Sb (0.000, 0.000, 0.000)
Sb (0.000, 0.500, 0.500)
Sb (0.500, 0.000, 0.500)
Sb (0.500, 0.500, 0.000)

Output
As for the formation energy without anion corrections: -696 meV/atom. Its space-group type is Pm-3m.

---

Entry 4:
The following is a GGA-PBE calculation of a relaxed KBa5Ca4 crystal, from Alexandria via LeMat-Bulk.

abc: 4.663 4.663 25.704
angles: 90.00 90.00 90.00
Sites, in units of the cell vectors:
K (0.000, 0.000, 0.000)
Ba (0.500, 0.500, 0.124)
Ba (0.500, 0.500, 0.313)
Ba (0.500, 0.500, 0.500)
Ba (0.500, 0.500, 0.687)
Ba (0.500, 0.500, 0.876)
Ca (0.000, 0.000, 0.221)
Ca (0.000, 0.000, 0.406)
Ca (0.000, 0.000, 0.594)
Ca (0.000, 0.000, 0.779)

Output
As for the energy of formation: 49 kJ/mol of formula units. Its space-group type is P4/mmm.

---

Entry 5:
The following is a GGA-PBE calculation of a relaxed Pr3NdSm6Dy2 crystal, from Alexandria via LeMat-Bulk.

abc: 6.307 6.307 12.079
angles: 95.00 95.00 119.99
Sites, in units of the cell vectors:
Pr (0.000, 0.000, 0.000)
Pr (0.333, 0.667, 0.000)
Pr (0.667, 0.333, 0.000)
Nd (0.500, 0.500, 0.500)
Sm (0.083, 0.417, 0.253)
Sm (0.248, 0.248, 0.747)
Sm (0.417, 0.083, 0.253)
Sm (0.583, 0.917, 0.747)
Sm (0.752, 0.752, 0.253)
Sm (0.917, 0.583, 0.747)
Dy (0.167, 0.833, 0.500)
Dy (0.833, 0.167, 0.500)

Output
As for the energy of formation: 18 kJ/mol of formula units. Its space-group type is C2/m.

---

Entry 6:
The following is a GGA-PBE calculation of a relaxed Zr2Be15Co2 crystal, from Alexandria via LeMat-Bulk.

abc: 5.724 5.724 5.724
angles: 83.11 83.11 83.11
Sites, in units of the cell vectors:
Zr (0.159, 0.159, 0.159)
Zr (0.841, 0.841, 0.841)
Be (0.000, 0.500, 0.500)
Be (0.160, 0.160, 0.654)
Be (0.160, 0.654, 0.160)
Be (0.220, 0.500, 0.780)
Be (0.220, 0.780, 0.500)
Be (0.346, 0.840, 0.840)
Be (0.500, 0.000, 0.500)
Be (0.500, 0.220, 0.780)
Be (0.500, 0.500, 0.000)
Be (0.500, 0.780, 0.220)
Be (0.654, 0.160, 0.160)
Be (0.780, 0.220, 0.500)
Be (0.780, 0.500, 0.220)
Be (0.840, 0.346, 0.840)
Be (0.840, 0.840, 0.346)
Co (0.397, 0.397, 0.397)
Co (0.603, 0.603, 0.603)

Output
As for the energy of formation: -508 kJ/mol of formula units. Its space-group type is R-3m.

---

Number 1: energy -2.9452 eV/atom. Number 2: energy -4.8213 eV/atom. Number 3: energy -5.0949 eV/atom. Number 4: energy -1.8214 eV/atom. Number 5: energy -4.7030 eV/atom. Number 6: energy -4.8669 eV/atom.